[1]
First-principles (GGA-PBE) data for a relaxed structure of ReTcCl2, as listed in Alexandria via LeMat-Bulk.

Calculated values
The calculation puts the total magnetization at 0.00 μB per cell. As for the excess energy over the best structure of this formula in the dataset: 4.55 eV per formula unit. The value obtained for the density of states at the Fermi level is 2.93 states/eV per cell. The value obtained for the total DFT energy (no corrections) is -5.6410 eV per atom. The value obtained for the formation energy (no corrections) is 0.99 eV per atom.

Structure (POSCAR):
```
ReTcCl2
1.0
-2.4856 2.4856 2.5347
2.4856 -2.4856 2.5347
2.4856 2.4856 -2.5347
Re Tc Cl
1 1 2
Cartesian
0.0000 0.0000 0.0000
0.0000 2.4856 1.2674
2.4856 0.0000 1.2674
0.0000 0.0000 2.5347
```



[2]
First-principles (GGA-PBE) data for a relaxed structure of InCuSn2Se5, as listed in Alexandria via LeMat-Bulk.

Calculated values
The calculation puts the total magnetization at 0.00 μB per cell. The value obtained for the density of states at the Fermi level is 10.83 states/eV per cell. The value obtained for the total DFT energy (no corrections) is -3.8977 eV per atom. The value obtained for the formation energy (no corrections) is -0.31 eV per atom.

Structure (POSCAR):
```
InCuSn2Se5
1.0
1.9276 -9.6842 0.0000
1.9276 9.6842 0.0000
0.0000 0.0000 13.3600
In Cu Sn Se
2 2 4 10
Cartesian
1.9276 5.4886 6.6800
1.9276 -5.4886 0.0000
1.9276 1.1161 12.4503
1.9276 -1.1161 5.7703
1.9276 7.9957 9.3594
1.9276 7.5948 1.7597
1.9276 -7.5948 8.4398
1.9276 -7.9957 2.6793
1.9276 9.3016 7.0041
1.9276 3.7141 2.1684
1.9276 3.3899 11.6874
1.9276 2.8272 6.5934
1.9276 0.0557 10.2605
1.9276 -0.0557 3.5805
1.9276 -2.8272 13.2734
1.9276 -3.3899 5.0074
1.9276 -3.7141 8.8484
1.9276 -9.3016 0.3241
```



[3]
First-principles (GGA-PBE) data for a relaxed structure of Na2ZrSbSe4, as listed in Alexandria via LeMat-Bulk.

Calculated values
The calculation puts the total magnetization at 0.76 μB per cell. The value obtained for the density of states at the Fermi level is 3.66 states/eV per cell. The value obtained for the total DFT energy (no corrections) is -4.5876 eV per atom. The value obtained for the formation energy (no corrections) is -0.93 eV per atom.

Structure (POSCAR):
```
Na2ZrSbSe4
1.0
7.2661 0.0000 0.0000
0.0000 3.9861 0.0000
-2.2530 0.0000 6.9517
Na Zr Sb Se
2 1 1 4
Cartesian
0.0000 0.0000 0.0000
3.6330 1.9931 0.0000
-1.1265 1.9931 3.4759
2.5065 0.0000 3.4759
0.0737 0.0000 5.0107
1.1589 1.9931 1.9068
3.8542 1.9931 5.0449
4.9393 0.0000 1.9410
```



[4]
First-principles (GGA-PBE) data for a relaxed structure of CsSrZnSe2, as listed in Alexandria via LeMat-Bulk.

Calculated values
The calculation puts the total magnetization at 0.01 μB per cell. The value obtained for the density of states at the Fermi level is 5.12 states/eV per cell. The value obtained for the total DFT energy (no corrections) is -3.1395 eV per atom. The value obtained for the formation energy (no corrections) is -0.98 eV per atom.

Structure (POSCAR):
```
CsSrZnSe2
1.0
8.3844 0.0000 0.0000
0.0000 5.3097 0.0000
-1.5870 0.0000 8.8512
Cs Sr Zn Se
2 2 2 4
Cartesian
-0.3967 0.9427 2.2128
-1.1902 4.3669 6.6384
3.0020 2.6084 6.6384
3.7955 2.7013 2.2128
4.1922 0.0000 0.0000
3.3987 0.0000 4.4256
0.8023 1.6158 8.5468
1.5958 3.6938 4.1212
5.2017 1.6158 4.7300
5.9952 3.6938 0.3044
```



[5]
First-principles (GGA-PBE) data for a relaxed structure of Cs3AgF5, as listed in Alexandria via LeMat-Bulk.

Calculated values
The calculation puts the total magnetization at 2.14 μB per cell. As for the excess energy over the best structure of this formula in the dataset: 0.79 eV per formula unit. The value obtained for the density of states at the Fermi level is 19.01 states/eV per cell. The value obtained for the total DFT energy (no corrections) is -3.7571 eV per atom. The value obtained for the formation energy (no corrections) is -2.12 eV per atom.

Structure (POSCAR):
```
Cs3AgF5
1.0
-4.0159 4.0159 6.9828
4.0159 -4.0159 6.9828
4.0159 4.0159 -6.9828
Cs Ag F
6 2 10
Cartesian
5.4127 1.3968 0.0000
0.0000 0.0000 3.4914
1.3968 2.6191 0.0000
2.6191 1.3968 6.9828
0.0000 0.0000 10.4742
-1.3968 2.6191 6.9828
4.0159 0.0000 3.4914
0.0000 4.0159 3.4914
0.0000 0.0000 0.0000
5.1397 -1.1238 2.0296
2.8921 -1.1238 4.9532
2.8921 1.1238 2.0296
5.1397 1.1238 4.9532
0.0000 0.0000 6.9828
-1.1238 2.8921 2.0296
1.1238 2.8921 4.9532
1.1238 5.1397 2.0296
-1.1238 5.1397 4.9532
```



[6]
First-principles (GGA-PBE) data for a relaxed structure of Li2ScMn, as listed in Alexandria via LeMat-Bulk.

Calculated values
The calculation puts the total magnetization at 2.94 μB per cell. As for the excess energy over the best structure of this formula in the dataset: 0.38 eV per formula unit. The value obtained for the density of states at the Fermi level is 3.39 states/eV per cell. The value obtained for the total DFT energy (no corrections) is -4.5799 eV per atom.

Structure (POSCAR):
```
Li2ScMn
1.0
-1.9139 1.9139 4.8162
1.9139 -1.9139 4.8162
1.9139 1.9139 -4.8162
Li Sc Mn
2 1 1
Cartesian
1.9139 0.0000 2.4081
0.0000 1.9139 2.4081
0.0000 0.0000 0.0000
0.0000 0.0000 4.8162
```



[7]
First-principles (GGA-PBE) data for a relaxed structure of Sc12In3Cu, as listed in Alexandria via LeMat-Bulk.

Calculated values
The calculation puts the total magnetization at 4.73 μB per cell. The value obtained for the density of states at the Fermi level is 20.82 states/eV per cell. The value obtained for the total DFT energy (no corrections) is -5.7272 eV per atom.

Structure (POSCAR):
```
Sc12In3Cu
1.0
4.5105 0.0000 0.0000
0.0000 4.5105 0.0000
0.0000 0.0000 17.7732
Sc In Cu
12 3 1
Cartesian
0.0000 0.0000 0.0000
0.0000 0.0000 4.3237
0.0000 0.0000 8.8866
0.0000 0.0000 13.4495
0.0000 2.2552 2.0348
0.0000 2.2552 6.6130
0.0000 2.2552 11.1602
0.0000 2.2552 15.7384
2.2552 0.0000 2.0348
2.2552 0.0000 6.6130
2.2552 0.0000 11.1602
2.2552 0.0000 15.7384
2.2552 2.2552 4.3319
2.2552 2.2552 8.8866
2.2552 2.2552 13.4413
2.2552 2.2552 0.0000
```



[8]
First-principles (GGA-PBE) data for a relaxed structure of Be2TlCd, as listed in Alexandria via LeMat-Bulk.

Calculated values
The calculation puts the total magnetization at 0.00 μB per cell. As for the excess energy over the best structure of this formula in the dataset: 1.63 eV per formula unit. The value obtained for the density of states at the Fermi level is 1.55 states/eV per cell. The value obtained for the total DFT energy (no corrections) is -1.8127 eV per atom.

Structure (POSCAR):
```
Be2TlCd
1.0
0.0000 3.3244 3.3244
3.3244 0.0000 3.3244
3.3244 3.3244 0.0000
Be Tl Cd
2 1 1
Cartesian
0.0000 0.0000 0.0000
1.6622 1.6622 1.6622
4.9866 4.9866 4.9866
3.3244 3.3244 3.3244
```



[9]
First-principles (GGA-PBE) data for a relaxed structure of SmDyCo4, as listed in Alexandria via LeMat-Bulk.

Calculated values
The calculation puts the total magnetization at 3.82 μB per cell. The value obtained for the density of states at the Fermi level is 8.14 states/eV per cell. The value obtained for the total DFT energy (no corrections) is -6.4379 eV per atom.

Structure (POSCAR):
```
SmDyCo4
1.0
0.0000 3.6083 3.6083
3.6083 0.0000 3.6083
3.6083 3.6083 0.0000
Sm Dy Co
1 1 4
Cartesian
0.0000 0.0000 0.0000
1.8041 1.8041 1.8041
4.5080 2.7085 2.7085
2.7085 4.5080 2.7085
2.7085 2.7085 4.5080
4.5080 4.5080 4.5080
```



[10]
First-principles (GGA-PBE) data for a relaxed structure of Y2SiAg, as listed in Alexandria via LeMat-Bulk.

Calculated values
The calculation puts the total magnetization at 0.00 μB per cell. The value obtained for the density of states at the Fermi level is 3.13 states/eV per cell. The value obtained for the total DFT energy (no corrections) is -5.6740 eV per atom. The value obtained for the formation energy (no corrections) is -0.37 eV per atom.

Structure (POSCAR):
```
Y2SiAg
1.0
2.1331 1.2315 6.7202
-2.1331 1.2315 6.7202
0.0000 -2.4631 6.7202
Y Si Ag
2 1 1
Cartesian
0.0000 0.0000 4.8405
0.0000 0.0000 15.3200
0.0000 0.0000 10.0802
0.0000 0.0000 0.0000
```



[11]
First-principles (GGA-PBE) data for a relaxed structure of AgPbBr2Cl, as listed in Alexandria via LeMat-Bulk.

Calculated values
The calculation puts the total magnetization at 0.00 μB per cell. The value obtained for the density of states at the Fermi level is 0.00 states/eV per cell. The value obtained for the total DFT energy (no corrections) is -3.0882 eV per atom. The value obtained for the formation energy (no corrections) is -0.74 eV per atom.

Structure (POSCAR):
```
AgPbBr2Cl
1.0
8.2690 0.0000 0.0000
0.0000 4.5101 0.0000
-0.3087 0.0000 8.6093
Ag Pb Br Cl
2 2 4 2
Cartesian
0.9162 1.1275 0.5819
7.0440 3.3826 8.0273
2.0225 3.3826 4.8574
5.9377 1.1275 3.7518
1.6188 3.3826 8.0873
3.8280 1.1275 5.8972
4.1322 3.3826 2.7120
6.3414 1.1275 0.5220
0.8873 1.1275 3.2482
7.0729 3.3826 5.3611
```



[12]
First-principles (GGA-PBE) data for a relaxed structure of Na2AgPd, as listed in Alexandria via LeMat-Bulk.

Calculated values
The calculation puts the total magnetization at 0.00 μB per cell. The value obtained for the density of states at the Fermi level is 1.16 states/eV per cell. The value obtained for the total DFT energy (no corrections) is -2.6499 eV per atom.

Structure (POSCAR):
```
Na2AgPd
1.0
3.7025 0.0000 0.0000
0.0000 3.7025 0.0000
0.0000 0.0000 5.9671
Na Ag Pd
2 1 1
Cartesian
0.0000 0.0000 1.4174
0.0000 0.0000 4.5497
1.8513 1.8513 2.9836
1.8513 1.8513 0.0000
```



Q: Which of these has the highest total DFT energy (no corrections)?
A: Be2TlCd



Q: The highest total DFT energy (no corrections) belongs to which entry?
A: Be2TlCd